(1)
Crystalline NaTa2Nb at its relaxed geometry. Source: Alexandria via LeMat-Bulk, functional PBE.

POSCAR file:
```
NaTa2Nb
1.0
4.006 0.000 0.000
0.000 4.006 0.000
2.003 2.003 9.990
Na Nb Ta
2 2 4
Cartesian
2.003 2.003 0.000
2.003 4.006 4.995
0.000 0.000 0.000
4.006 2.003 4.995
3.068 1.001 2.498
0.937 3.004 2.498
3.004 2.940 7.493
5.007 5.071 7.493
```

Output
The calculation puts the formation energy at 1.17 eV per atom. The value obtained for the density is 9.899 Mg/m³. For the energy above the lowest structure with this stoichiometry, the calculation gives 0.380 eV/atom. For the final energy, the calculation gives -60.8 eV for the cell shown.


(2)
Crystalline Mg2CrH2 at its relaxed geometry. Source: Alexandria via LeMat-Bulk, functional PBE.

POSCAR file:
```
Mg2CrH2
1.0
-4.481 0.594 3.473
-1.642 -5.324 -1.208
2.284 -1.429 3.192
Cr Mg H
2 4 4
Cartesian
0.000 0.000 0.000
-3.062 -2.365 1.132
-0.819 -4.257 1.414
-3.269 -4.639 2.996
-3.019 -1.901 4.043
-0.569 -1.520 2.460
-2.263 -3.775 -0.071
-4.551 -3.633 1.630
-3.860 -0.954 2.335
-1.572 -1.096 0.634
```

Output
The value obtained for the density is 2.511 Mg/m³. For the final energy, the calculation gives -36.5 eV for the cell shown.


(3)
Crystalline LaTm2Al2Ga2 at its relaxed geometry. Source: Alexandria via LeMat-Bulk, functional PBE.

POSCAR file:
```
LaTm2Al2Ga2
1.0
4.427 0.000 0.000
2.213 3.834 0.000
2.213 1.278 9.855
La Tm Al Ga
1 2 2 2
Cartesian
0.000 0.000 0.000
2.213 1.278 5.990
6.640 3.834 3.866
4.427 2.556 2.011
4.427 2.556 7.844
6.640 3.834 7.390
2.213 1.278 2.465
```

Output
The calculation puts the formation energy at -0.39 eV per atom. The value obtained for the density is 6.654 Mg/m³. For the final energy, the calculation gives -30.2 eV for the cell shown.


(4)
Crystalline KYSn at its relaxed geometry. Source: Alexandria via LeMat-Bulk, functional PBE.

POSCAR file:
```
KYSn
1.0
-7.798 -4.911 2.264
-0.372 -2.556 -6.827
3.116 -4.286 1.435
Y K Sn
4 4 4
Cartesian
0.000 0.000 0.000
-2.527 -5.876 -1.564
-2.341 -4.598 1.849
-0.186 -1.278 -3.414
-2.176 -8.196 1.236
-5.222 -8.151 -2.517
-2.878 -3.556 -4.365
0.167 -3.601 -0.612
-2.689 -2.276 -0.952
-0.022 -4.882 -4.025
-2.366 -9.476 -2.177
-5.033 -6.871 0.896
```

Output
The calculation puts the formation energy at -0.03 eV per atom. The value obtained for the density is 4.310 Mg/m³. For the energy above the lowest structure with this stoichiometry, the calculation gives 0.363 eV/atom. For the final energy, the calculation gives -46.7 eV for the cell shown.